[1]
The following is a GGA-PBE calculation of a geometry-optimized AgSbIr2 structure, from Alexandria via LeMat-Bulk.

Cell: 4.667 4.667 3.148 Å, 90.00 90.00 100.71°
Fractional positions:
Sb  0.500  0.000  0.500
Ir  0.000  0.000  0.000
Ir  0.500  0.500  0.000
Ag  0.000  0.500  0.500

Summary:
As for the space group: Cmmm (65). The value obtained for the total energy is -5.82 eV per atom.

[2]
The following is a GGA-PBE calculation of a geometry-optimized Ag2SbIr structure, from Alexandria via LeMat-Bulk.

Cell: 2.964 2.964 8.771 Å, 90.00 90.00 90.00°
Fractional positions:
Sb  0.500  0.500  0.750
Ir  0.500  0.500  0.250
Ag  0.000  0.000  0.029
Ag  0.000  0.000  0.471

Summary:
As for the space group: P4/mmm (123). The value obtained for the total energy is -4.21 eV per atom.

[3]
The following is a GGA-PBE calculation of a geometry-optimized AgSb2Ir structure, from Alexandria via LeMat-Bulk.

Cell: 6.150 6.150 7.475 Å, 65.71 65.71 90.00°
Fractional positions:
Sb  0.657  0.125  0.250
Sb  0.093  0.625  0.250
Sb  0.375  0.343  0.750
Sb  0.875  0.907  0.750
Ir  0.000  0.000  0.000
Ir  0.750  0.250  0.500
Ag  0.500  0.500  0.000
Ag  0.250  0.750  0.500

Summary:
As for the space group: I-42d (122). The value obtained for the total energy is -4.75 eV per atom.

[4]
The following is a GGA-PBE calculation of a geometry-optimized Ag2SbIr structure, from Alexandria via LeMat-Bulk.

Cell: 5.471 5.471 4.557 Å, 74.77 74.77 33.91°
Fractional positions:
Sb  0.250  0.250  0.250
Ir  0.750  0.750  0.750
Ag  0.008  0.008  0.992
Ag  0.492  0.492  0.508

Summary:
As for the space group: C2/m (12). The value obtained for the total energy is -4.42 eV per atom.

What calculated volume values result from the calculations? In sequence: 67.37; 77.06; 229.97; 73.18 Å³ per cell.
What uncorrected formation energy values result from the calculations? In sequence: 0.353; 0.466; 0.243; 0.248 eV per atom.